1.
The following is a DFT calculation (PBE) of a relaxed structure of ReP2Pb.

- Calculated total energy: -6.5792 eV per atom
- Formation energy: 164.8 meV per atom

a = 7.5219 Å, b = 3.1809 Å, c = 6.5671 Å
α = 90.00°, β = 98.19°, γ = 90.00°
Closest atoms and distances in Å follow each position.
Space group C2/m (No. 12)
Inequivalent atoms, fractional coordinates:
Re (0.0000, 0.0000, 0.0000) (multiplicity 2)  6 P 2.43-2.46
P (0.2225, 0.5000, 0.1576) (multiplicity 4)  3 Re 2.43-2.46, 2 P 2.69
Pb (0.0000, 0.5000, 0.5000) (multiplicity 2)  6 P 2.99-3.26, 2 Pb 3.18



2.
The following is a DFT calculation (PBE) of a relaxed structure of Y4Ta6O19.

- Calculated total energy: -9.5372 eV per atom
- Energy relative to the elements, uncorrected: -2.945 eV per atom

a = 9.1305 Å, b = 9.1305 Å, c = 9.1305 Å
α = 90.00°, β = 90.00°, γ = 90.00°
Closest atoms and distances in Å follow each position.
Space group I23 (No. 197)
Inequivalent atoms, fractional coordinates:
Y (0.1439, 0.1439, 0.1439) (multiplicity 8)  7 O 2.28-2.51
Ta (0.0000, 0.1531, 0.5000) (multiplicity 12)  6 O 1.99-2.10
O (0.0000, 0.0000, 0.0000) (multiplicity 2)  4 Y 2.28
O (0.0000, 0.0000, 0.3285) (multiplicity 12)  2 Ta 2.10
O (0.0421, 0.2874, 0.3222) (multiplicity 24)  2 Ta 1.99-2.07



3.
The following is a DFT calculation (PBE) of a relaxed structure of Li2FeAs.

- Calculated total energy: -4.2948 eV per atom
- Formation energy: -59.8 meV per atom

a = 4.8367 Å, b = 8.7751 Å, c = 2.7216 Å
α = 90.00°, β = 106.50°, γ = 90.00°
Closest atoms and distances in Å follow each position.
Space group C2/m (No. 12)
Inequivalent atoms, fractional coordinates:
Li (0.2500, 0.2500, 0.0000) (multiplicity 4)  2 Li 2.42, 2 As 2.68, 2 Fe 2.68
Fe (0.0000, 0.0000, 0.5000) (multiplicity 2)  2 As 2.42, 4 Li 2.68
As (0.0000, 0.5000, 0.5000) (multiplicity 2)  2 Fe 2.42, 4 Li 2.68



4.
The following is a DFT calculation (PBE) of a relaxed structure of MgGa4Ir2Ru.

- Calculated total energy: -5.4528 eV per atom
- Formation energy: -365.3 meV per atom

a = 4.3467 Å, b = 4.3467 Å, c = 21.5768 Å
α = 90.00°, β = 90.00°, γ = 120.00°
Closest atoms and distances in Å follow each position.
Space group R-3m (No. 166, hexagonal axes)
Inequivalent atoms, fractional coordinates:
Mg (0.0000, 0.0000, 0.0000) (multiplicity 3)  8 Ga 2.70-2.82
Ga (0.0000, 0.0000, 0.1305) (multiplicity 6)  3 Ru 2.63, 4 Ir 2.66-2.74, 1 Mg 2.82
Ga (0.0000, 0.0000, 0.3796) (multiplicity 6)  1 Ru 2.60, 4 Ir 2.61-2.71, 3 Mg 2.70
Ir (0.0000, 0.0000, 0.2539) (multiplicity 6)  8 Ga 2.61-2.74
Ru (0.0000, 0.0000, 0.5000) (multiplicity 3)  8 Ga 2.60-2.63



Q: What is the calculated total energy in the fourth record?
A: -5.4528 eV per atom



Copy entry 1 word for word.
The following is a DFT calculation (PBE) of a relaxed structure of ReP2Pb.

- Calculated total energy: -6.5792 eV per atom
- Formation energy: 164.8 meV per atom

a = 7.5219 Å, b = 3.1809 Å, c = 6.5671 Å
α = 90.00°, β = 98.19°, γ = 90.00°
Closest atoms and distances in Å follow each position.
Space group C2/m (No. 12)
Inequivalent atoms, fractional coordinates:
Re (0.0000, 0.0000, 0.0000) (multiplicity 2)  6 P 2.43-2.46
P (0.2225, 0.5000, 0.1576) (multiplicity 4)  3 Re 2.43-2.46, 2 P 2.69
Pb (0.0000, 0.5000, 0.5000) (multiplicity 2)  6 P 2.99-3.26, 2 Pb 3.18